DFT (PBEsol) results for a relaxed CeCuGe crystal.

a = 4.1373 Å, b = 4.1373 Å, c = 3.9543 Å
α = 90.00°, β = 90.00°, γ = 120.00°
Space group P-6m2 (No. 187)
Asymmetric unit:
Ce1 0.0000 0.0000 0.0000 x1
Cu1 0.3333 0.6667 0.5000 x1
Ge1 0.6667 0.3333 0.5000 x1

Formation enthalpy at 0 K ... -157 kJ/mol of formula units